*A*
{"formula": "NaCr2F8", "functional": "PBE with a Hubbard U", "state": "relaxed", "m_tot_mub_per_cell": 5.0, "space_group": "C2/m (12)", "lattice_angstrom": [[3.078, -4.802, 0.000], [3.078, 4.802, 0.000], [-0.418, 0.000, 4.015]], "species": ["Na", "Cr", "Cr", "F", "F", "F", "F", "F", "F", "F", "F"], "frac_coords": [[0.000, 0.000, 0.000], [0.329, 0.671, 0.500], [0.671, 0.329, 0.500], [0.049, 0.337, 0.591], [0.273, 0.727, 0.000], [0.337, 0.049, 0.591], [0.399, 0.399, 0.243], [0.601, 0.601, 0.757], [0.663, 0.951, 0.409], [0.727, 0.273, 0.000], [0.951, 0.663, 0.409]]}

***

*B*
{"formula": "NaCr2F8", "functional": "PBE with a Hubbard U", "state": "relaxed", "m_tot_mub_per_cell": 5.0, "space_group": "P-1 (2)", "lattice_angstrom": [[4.000, 0.000, 0.000], [0.003, 6.364, 0.000], [0.020, 2.185, 5.987]], "species": ["Na", "Cr", "Cr", "F", "F", "F", "F", "F", "F", "F", "F"], "frac_coords": [[0.000, 0.000, 0.000], [0.250, 0.377, 0.376], [0.750, 0.623, 0.624], [0.249, 0.147, 0.645], [0.250, 0.585, 0.586], [0.251, 0.646, 0.148], [0.252, 0.206, 0.204], [0.748, 0.794, 0.796], [0.749, 0.354, 0.852], [0.750, 0.415, 0.414], [0.751, 0.853, 0.355]]}

***

Of them, *A* has the lowest stability.

***

*A*
{"formula": "Na2CrF2", "functional": "PBE with a Hubbard U", "state": "relaxed", "m_tot_mub_per_cell": 5.7, "space_group": "I4/mmm (139)", "lattice_angstrom": [[-2.148, 2.148, 5.619], [2.148, -2.148, 5.619], [2.148, 2.148, -5.619]], "species": ["Na", "Na", "Cr", "F", "F"], "frac_coords": [[0.198, 0.198, 0.000], [0.802, 0.802, 0.000], [0.500, 0.500, 0.000], [0.250, 0.750, 0.500], [0.750, 0.250, 0.500]]}

***

*B*
{"formula": "Na2CrF2", "functional": "PBE with a Hubbard U", "state": "relaxed", "m_tot_mub_per_cell": 10.9, "space_group": "P4/mbm (127)", "lattice_angstrom": [[7.392, 0.000, 0.000], [0.000, 7.392, 0.000], [0.000, 0.000, 2.976]], "species": ["Na", "Na", "Na", "Na", "Cr", "Cr", "F", "F", "F", "F"], "frac_coords": [[0.126, 0.374, 0.000], [0.374, 0.874, 0.000], [0.626, 0.126, 0.000], [0.874, 0.626, 0.000], [0.000, 0.000, 0.000], [0.500, 0.500, 0.000], [0.136, 0.636, 0.500], [0.364, 0.136, 0.500], [0.636, 0.864, 0.500], [0.864, 0.364, 0.500]]}

***

Of them, *B* has the lowest stability.

***

*A*
{"formula": "Na3CrF6", "functional": "PBE with a Hubbard U", "state": "relaxed", "m_tot_mub_per_cell": 3.0, "space_group": "Fmmm (69)", "lattice_angstrom": [[0.000, 4.023, 5.194], [3.475, 0.000, 5.194], [3.475, 4.023, 0.000]], "species": ["Na", "Na", "Na", "Cr", "F", "F", "F", "F", "F", "F"], "frac_coords": [[0.000, 0.000, 0.000], [0.250, 0.250, 0.250], [0.750, 0.750, 0.750], [0.500, 0.500, 0.500], [0.166, 0.574, 0.834], [0.262, 0.738, 0.262], [0.426, 0.834, 0.574], [0.574, 0.166, 0.426], [0.738, 0.262, 0.738], [0.834, 0.426, 0.166]]}

***

*B*
{"formula": "Na3CrF6", "functional": "PBE with a Hubbard U", "state": "relaxed", "m_tot_mub_per_cell": 6.0, "space_group": "P2_1/c (14)", "lattice_angstrom": [[5.562, 0.000, 0.000], [0.000, 5.794, 0.000], [-5.501, 0.000, 8.045]], "species": ["Na", "Na", "Na", "Na", "Na", "Na", "Cr", "Cr", "F", "F", "F", "F", "F", "F", "F", "F", "F", "F", "F", "F"], "frac_coords": [[0.000, 0.000, 0.000], [0.000, 0.500, 0.500], [0.227, 0.057, 0.744], [0.227, 0.443, 0.244], [0.773, 0.557, 0.756], [0.773, 0.943, 0.256], [0.500, 0.000, 0.500], [0.500, 0.500, 0.000], [0.161, 0.179, 0.447], [0.161, 0.321, 0.947], [0.259, 0.722, 0.427], [0.259, 0.778, 0.927], [0.394, 0.058, 0.275], [0.394, 0.442, 0.775], [0.606, 0.558, 0.225], [0.606, 0.942, 0.725], [0.741, 0.222, 0.073], [0.741, 0.278, 0.573], [0.839, 0.679, 0.053], [0.839, 0.821, 0.553]]}

***

*C*
{"formula": "Na3CrF6", "functional": "PBE with a Hubbard U", "state": "relaxed", "m_tot_mub_per_cell": 3.0, "space_group": "C2/m (12)", "lattice_angstrom": [[4.917, -2.899, 0.000], [4.917, 2.899, 0.000], [-3.151, 0.000, 4.663]], "species": ["Na", "Na", "Na", "Cr", "F", "F", "F", "F", "F", "F"], "frac_coords": [[0.000, 0.000, 0.000], [0.247, 0.247, 0.713], [0.753, 0.753, 0.287], [0.500, 0.500, 0.500], [0.193, 0.664, 0.655], [0.280, 0.280, 0.147], [0.336, 0.807, 0.345], [0.664, 0.193, 0.655], [0.720, 0.720, 0.853], [0.807, 0.336, 0.345]]}

***

Of them, *A* has the lowest stability.

***

*A*
{"formula": "Na2TlCrF6", "functional": "PBE with a Hubbard U", "state": "relaxed", "m_tot_mub_per_cell": 3.0, "space_group": "Fm-3m (225)", "lattice_angstrom": [[0.000, 4.501, 4.501], [4.501, 0.000, 4.501], [4.501, 4.501, 0.000]], "species": ["Na", "Na", "Tl", "Cr", "F", "F", "F", "F", "F", "F"], "frac_coords": [[0.250, 0.250, 0.250], [0.750, 0.750, 0.750], [0.000, 0.000, 0.000], [0.500, 0.500, 0.500], [0.284, 0.284, 0.716], [0.284, 0.716, 0.284], [0.284, 0.716, 0.716], [0.716, 0.284, 0.284], [0.716, 0.284, 0.716], [0.716, 0.716, 0.284]]}

***

*B*
{"formula": "Na2TlCrF6", "functional": "PBE with a Hubbard U", "state": "relaxed", "m_tot_mub_per_cell": 6.0, "space_group": "P2_1/c (14)", "lattice_angstrom": [[5.966, 0.000, 0.000], [0.000, 6.007, 0.000], [-5.843, 0.000, 8.611]], "species": ["Na", "Na", "Na", "Na", "Tl", "Tl", "Cr", "Cr", "F", "F", "F", "F", "F", "F", "F", "F", "F", "F", "F", "F"], "frac_coords": [[0.220, 0.070, 0.227], [0.220, 0.430, 0.727], [0.780, 0.570, 0.273], [0.780, 0.930, 0.773], [0.500, 0.000, 0.000], [0.500, 0.500, 0.500], [0.000, 0.000, 0.500], [0.000, 0.500, 0.000], [0.038, 0.204, 0.939], [0.038, 0.296, 0.439], [0.161, 0.633, 0.898], [0.161, 0.867, 0.398], [0.355, 0.053, 0.695], [0.355, 0.447, 0.195], [0.645, 0.553, 0.805], [0.645, 0.947, 0.305], [0.839, 0.133, 0.602], [0.839, 0.367, 0.102], [0.962, 0.704, 0.561], [0.962, 0.796, 0.061]]}

***

Of them, *A* has the lowest stability.

***

*A*
{"formula": "Nb2CrF", "functional": "PBE with a Hubbard U", "state": "relaxed", "m_tot_mub_per_cell": 0.2, "space_group": "Fm-3m (225)", "lattice_angstrom": [[0.000, 3.095, 3.095], [3.095, 0.000, 3.095], [3.095, 3.095, 0.000]], "species": ["Nb", "Nb", "Cr", "F"], "frac_coords": [[0.250, 0.250, 0.250], [0.750, 0.750, 0.750], [0.000, 0.000, 0.000], [0.500, 0.500, 0.500]]}

***

*B*
{"formula": "Nb2CrF", "functional": "PBE with a Hubbard U", "state": "relaxed", "m_tot_mub_per_cell": 8.0, "space_group": "I-42d (122)", "lattice_angstrom": [[-2.324, 2.324, 7.338], [2.324, -2.324, 7.338], [2.324, 2.324, -7.338]], "species": ["Nb", "Nb", "Nb", "Nb", "Cr", "Cr", "F", "F"], "frac_coords": [[0.375, 0.232, 0.357], [0.768, 0.125, 0.143], [0.875, 0.018, 0.643], [0.982, 0.625, 0.857], [0.250, 0.750, 0.500], [0.500, 0.500, 0.000], [0.000, 0.000, 0.000], [0.750, 0.250, 0.500]]}

***

Of them, *A* has the lowest stability.

***

*A*
{"formula": "NbCr2F", "functional": "PBE with a Hubbard U", "state": "relaxed", "m_tot_mub_per_cell": 14.3, "space_group": "I-42d (122)", "lattice_angstrom": [[-3.524, 3.524, 2.646], [3.524, -3.524, 2.646], [3.524, 3.524, -2.646]], "species": ["Nb", "Nb", "Cr", "Cr", "Cr", "Cr", "F", "F"], "frac_coords": [[0.000, 0.000, 0.000], [0.750, 0.250, 0.500], [0.186, 0.625, 0.061], [0.375, 0.436, 0.561], [0.564, 0.125, 0.939], [0.875, 0.814, 0.439], [0.250, 0.750, 0.500], [0.500, 0.500, 0.000]]}

***

*B*
{"formula": "NbCr2F", "functional": "PBE with a Hubbard U", "state": "relaxed", "m_tot_mub_per_cell": 6.4, "space_group": "Fm-3m (225)", "lattice_angstrom": [[0.000, 3.233, 3.233], [3.233, 0.000, 3.233], [3.233, 3.233, 0.000]], "species": ["Nb", "Cr", "Cr", "F"], "frac_coords": [[0.000, 0.000, 0.000], [0.250, 0.250, 0.250], [0.750, 0.750, 0.750], [0.500, 0.500, 0.500]]}

***

Of them, *B* has the lowest stability.